(1)
Below is an optimized crystal structure of PmDy3Te, with properties calculated at the PBE-GGA level.

a b c (Å): 7.4448 7.4448 7.7159
angles (deg): 117.62 117.62 77.54
Atoms (fractional coordinates):
1 Pm 0.0659 0.0659 0.3646
2 Pm 0.9341 0.9341 0.6354
3 Dy 0.0498 0.4228 0.2112
4 Dy 0.4228 0.0498 0.2112
5 Dy 0.4436 0.4436 0.6848
6 Dy 0.5564 0.5564 0.3152
7 Dy 0.5772 0.9502 0.7888
8 Dy 0.9502 0.5772 0.7888
9 Te 0.2662 0.2662 0.8887
10 Te 0.7338 0.7338 0.1113

**SG**: C2/m
**E_form (uncorrected)**: -154 kJ/mol of formula units

***

(2)
Below is an optimized crystal structure of Pm2DyTe3, with properties calculated at the PBE-GGA level.

a b c (Å): 7.6670 7.6670 7.6670
angles (deg): 146.29 131.96 59.97
Atoms (fractional coordinates):
1 Pm 0.1733 0.1733 0.0000
2 Pm 0.8267 0.8267 0.0000
3 Dy 0.5000 0.5000 0.0000
4 Te 0.0000 0.5000 0.5000
5 Te 0.3405 0.8405 0.5000
6 Te 0.6595 0.1595 0.5000

**SG**: Immm
**E_form (uncorrected)**: -790 kJ/mol of formula units